1.
FeNi2S4: optimized geometry, GGA-PBE.

abc: 6.6329 6.6329 6.6329
angles: 60.00 60.00 60.00
Closest atoms and distances in Å follow each position.
Element x y z (fractional)
S (0.8701, 0.8701, 0.8701)  1 Fe 2.11, 3 Ni 2.30
S (0.3799, 0.8604, 0.3799)  1 Fe 2.11, 3 Ni 2.30
S (0.8604, 0.3799, 0.3799)  1 Fe 2.11, 3 Ni 2.30
S (0.3799, 0.3799, 0.3799)  1 Fe 2.11, 3 Ni 2.30
S (0.8701, 0.3896, 0.8701)  1 Fe 2.11, 3 Ni 2.30
S (0.8701, 0.8701, 0.3896)  1 Fe 2.11, 3 Ni 2.30
S (0.3799, 0.3799, 0.8604)  1 Fe 2.11, 3 Ni 2.30
S (0.3896, 0.8701, 0.8701)  1 Fe 2.11, 3 Ni 2.30
Ni (0.1250, 0.6250, 0.6250)  6 S 2.30
Ni (0.6250, 0.6250, 0.1250)  6 S 2.30
Ni (0.6250, 0.1250, 0.6250)  6 S 2.30
Ni (0.6250, 0.6250, 0.6250)  6 S 2.30
Fe (0.0000, 0.0000, 0.0000)  4 S 2.11
Fe (0.2500, 0.2500, 0.2500)  4 S 2.11

Output
ΔE to the lowest computed polymorph = 46 meV per atom
formation energy (no corrections) = -367 meV/atom
E_tot = -5.587 eV/atom



2.
La2HoHg: optimized geometry, GGA-PBE.

abc: 3.7325 3.7325 11.1344
angles: 80.32 80.32 59.96
Closest atoms and distances in Å follow each position.
Element x y z (fractional)
Hg (0.6670, 0.6670, 0.9987)  6 La 3.35-3.37, 6 Hg 3.73
Ho (0.4996, 0.4996, 0.5014)  6 La 3.59-3.62, 6 Ho 3.73
La (0.0785, 0.0785, 0.7642)  3 Hg 3.35, 3 Ho 3.59, 6 La 3.73
La (0.2549, 0.2549, 0.2357)  3 Hg 3.37, 3 Ho 3.61-3.62, 6 La 3.73

Output
ΔE to the lowest computed polymorph = 107 meV per atom
E_tot = -3.815 eV/atom
ΔE_f = -131.9 meV/atom



3.
LiVSe3: optimized geometry, GGA-PBE.

abc: 5.9945 7.6144 6.6884
angles: 69.92 80.71 120.25
Closest atoms and distances in Å follow each position.
Element x y z (fractional)
Li (0.5105, 0.7042, 0.5966)  5 Se 2.63-2.90
Li (0.3180, 0.0120, 0.9810)  5 Se 2.63-2.90
Se (0.4134, 0.6829, 0.0049)  2 V 2.45-2.51, 1 Li 2.63
Se (0.8948, 0.6480, 0.9777)  2 V 2.41-2.52, 1 Li 2.66
Se (0.0835, 0.3368, 0.6003)  2 V 2.41-2.52, 1 Li 2.66
Se (0.9859, 0.0934, 0.2480)  2 V 2.45-2.49, 1 Li 2.63
Se (0.4449, 0.0524, 0.3299)  2 V 2.45-2.49, 1 Li 2.64
Se (0.6294, 0.3988, 0.5731)  2 V 2.45-2.51, 1 Li 2.63
V (0.3982, 0.3676, 0.2926)  6 Se 2.41-2.52
V (0.9018, 0.3712, 0.2854)  6 Se 2.41-2.52

Output
ΔE to the lowest computed polymorph = 0 meV per atom
formation energy (no corrections) = -743 meV/atom
E_tot = -5.040 eV/atom



4.
Ac3AgB2N6: optimized geometry, GGA-PBE.

abc: 5.6413 5.6413 6.7545
angles: 90.00 90.00 120.00
Closest atoms and distances in Å follow each position.
Element x y z (fractional)
N (0.6330, 0.8165, 0.2710)  1 B 1.46
N (0.1835, 0.3670, 0.2710)  1 B 1.46
N (0.3670, 0.1835, 0.7290)  1 B 1.46
N (0.8165, 0.6330, 0.7290)  1 B 1.46
N (0.1835, 0.8165, 0.2710)  1 B 1.46
N (0.8165, 0.1835, 0.7290)  1 B 1.46
Ac (0.0000, 0.0000, 0.0000)  6 N 2.56
Ac (0.3333, 0.6667, 0.6756)  1 B 2.75, 6 N 2.85
Ac (0.6667, 0.3333, 0.3244)  1 B 2.75, 6 N 2.85
B (0.3333, 0.6667, 0.2679)  3 N 1.46
B (0.6667, 0.3333, 0.7321)  3 N 1.46
Ag (0.0000, 0.0000, 0.5000)  6 N 2.37

Output
formation energy (no corrections) = -634 meV/atom
E_tot = -7.174 eV/atom



5.
TlPt3F: optimized geometry, GGA-PBE.

abc: 5.1169 5.1169 5.1169
angles: 90.00 90.00 90.00
Closest atoms and distances in Å follow each position.
Element x y z (fractional)
Pt (0.5000, 0.0000, 0.0000)  2 Tl 2.56
Pt (0.0000, 0.5000, 0.0000)  2 Tl 2.56
Pt (0.0000, 0.0000, 0.5000)  2 Tl 2.56
Tl (0.0000, 0.0000, 0.0000)  6 Pt 2.56
F (0.5000, 0.5000, 0.5000)  12 Pt 3.62

Output
ΔE to the lowest computed polymorph = 761 meV per atom
formation energy (no corrections) = 1390 meV/atom
E_tot = -3.082 eV/atom



6.
Ta4Nb4Ir: optimized geometry, GGA-PBE.

abc: 6.5278 8.3893 3.1991
angles: 79.00 90.23 78.50
Closest atoms and distances in Å follow each position.
Element x y z (fractional)
Nb (0.7790, 0.8141, 0.5923)  2 Ir 2.81, 2 Nb 2.81-2.82, 4 Ta 2.88-3.09
Nb (0.2210, 0.1859, 0.4077)  2 Ir 2.81, 2 Nb 2.81-2.82, 4 Ta 2.88-3.09
Nb (0.6019, 0.5969, 0.2015)  4 Nb 2.78-2.82, 4 Ta 2.81-2.86
Nb (0.3981, 0.4031, 0.7985)  4 Nb 2.78-2.82, 4 Ta 2.81-2.86
Ta (0.9047, 0.3939, 0.8034)  4 Nb 2.81-2.89, 4 Ta 2.83-2.90
Ta (0.3059, 0.8154, 0.5938)  2 Ir 2.76, 4 Nb 2.84-3.09, 2 Ta 2.90
Ta (0.0953, 0.6061, 0.1967)  4 Nb 2.81-2.89, 4 Ta 2.83-2.90
Ta (0.6941, 0.1846, 0.4062)  2 Ir 2.76, 4 Nb 2.84-3.09, 2 Ta 2.90
Ir (0.0000, 0.0000, 0.0000)  4 Ta 2.76, 4 Nb 2.81

Output
E_tot = -10.659 eV/atom
ΔE_f = 68.4 meV/atom



7.
TlInBrCl: optimized geometry, GGA-PBE.

abc: 5.5768 5.5768 5.5768
angles: 60.00 60.00 60.00
Closest atoms and distances in Å follow each position.
Element x y z (fractional)
Br (0.7500, 0.7500, 0.7500)  4 Tl 3.42, 4 In 3.42
Tl (0.5000, 0.5000, 0.5000)  4 Br 3.42, 4 Cl 3.42
Cl (0.2500, 0.2500, 0.2500)  4 Tl 3.42, 4 In 3.42
In (0.0000, 0.0000, 0.0000)  4 Cl 3.42, 4 Br 3.42

Output
ΔE to the lowest computed polymorph = 28 meV per atom
formation energy (no corrections) = -782 meV/atom
E_tot = -2.938 eV/atom



8.
LiZrSiOs: optimized geometry, GGA-PBE.

abc: 4.3990 4.3990 4.3990
angles: 60.00 60.00 60.00
Closest atoms and distances in Å follow each position.
Element x y z (fractional)
Os (0.5000, 0.5000, 0.5000)  4 Zr 2.69, 4 Si 2.69
Zr (0.2500, 0.2500, 0.2500)  4 Li 2.69, 4 Os 2.69
Li (0.0000, 0.0000, 0.0000)  4 Zr 2.69, 4 Si 2.69
Si (0.7500, 0.7500, 0.7500)  4 Li 2.69, 4 Os 2.69

Output
formation energy (no corrections) = -433 meV/atom
E_tot = -7.212 eV/atom



What did the eighth record say?
LiZrSiOs: optimized geometry, GGA-PBE.

abc: 4.3990 4.3990 4.3990
angles: 60.00 60.00 60.00
Closest atoms and distances in Å follow each position.
Element x y z (fractional)
Os (0.5000, 0.5000, 0.5000)  4 Zr 2.69, 4 Si 2.69
Zr (0.2500, 0.2500, 0.2500)  4 Li 2.69, 4 Os 2.69
Li (0.0000, 0.0000, 0.0000)  4 Zr 2.69, 4 Si 2.69
Si (0.7500, 0.7500, 0.7500)  4 Li 2.69, 4 Os 2.69

Output
formation energy (no corrections) = -433 meV/atom
E_tot = -7.212 eV/atom



Repeat the second record exactly.
La2HoHg: optimized geometry, GGA-PBE.

abc: 3.7325 3.7325 11.1344
angles: 80.32 80.32 59.96
Closest atoms and distances in Å follow each position.
Element x y z (fractional)
Hg (0.6670, 0.6670, 0.9987)  6 La 3.35-3.37, 6 Hg 3.73
Ho (0.4996, 0.4996, 0.5014)  6 La 3.59-3.62, 6 Ho 3.73
La (0.0785, 0.0785, 0.7642)  3 Hg 3.35, 3 Ho 3.59, 6 La 3.73
La (0.2549, 0.2549, 0.2357)  3 Hg 3.37, 3 Ho 3.61-3.62, 6 La 3.73

Output
ΔE to the lowest computed polymorph = 107 meV per atom
E_tot = -3.815 eV/atom
ΔE_f = -131.9 meV/atom